[1]
Computed, not measured: an optimized crystal structure of PRu2Br at the PBE level of DFT.

```
PRu2Br
1.0
-1.954 -1.461 4.489
2.360 -3.307 -3.028
2.881 -0.373 0.991
Br P Ru
1 1 2
Direct
0.000 0.500 0.500 Br
0.500 0.500 0.000 P
0.000 0.000 0.000 Ru
0.500 0.000 0.500 Ru
```

Its crystal system is monoclinic. The energy relative to the elements, uncorrected comes out at 0.77 eV/atom. The calculation puts the energy above the most stable polymorph in this dataset at 878 meV per atom.

=====

[2]
Computed, not measured: an optimized crystal structure of Hf2CrHRh at the PBE level of DFT.

```
Hf2CrHRh
1.0
-0.236 4.389 1.001
-3.591 0.421 -2.692
-2.122 -0.733 2.716
Rh Hf H Cr
1 2 1 1
Direct
0.000 0.000 0.500 Rh
0.000 0.500 0.000 Hf
0.500 0.000 0.000 Hf
0.000 0.000 0.000 H
0.500 0.500 0.500 Cr
```

Its crystal system is tetragonal. The calculation puts the energy above the most stable polymorph in this dataset at 132 meV per atom.

=====

[3]
Computed, not measured: an optimized crystal structure of KMg6Pb6 at the PBE level of DFT.

```
KMg6Pb6
1.0
-0.826 0.617 6.144
-7.937 -0.342 2.125
-0.122 -7.255 3.871
K Mg Pb
1 6 6
Direct
0.000 0.000 0.000 K
0.000 0.500 0.000 Mg
0.500 0.500 0.000 Mg
0.000 0.000 0.500 Mg
0.500 0.000 0.500 Mg
0.500 0.759 0.241 Mg
0.500 0.241 0.759 Mg
0.343 0.657 0.657 Pb
0.657 0.343 0.343 Pb
0.000 0.344 0.656 Pb
0.000 0.656 0.344 Pb
0.323 0.177 0.177 Pb
0.677 0.823 0.823 Pb
```

Its crystal system is orthorhombic. For the formation energy, the calculation gives -0.073 eV/atom.

=====

[4]
Computed, not measured: an optimized crystal structure of Li2PmZnO4 at the PBE level of DFT.

```
Li2PmZnO4
1.0
-2.642 4.610 0.509
-3.550 0.676 3.435
1.964 3.961 2.305
Li Pm Zn O
2 1 1 4
Direct
0.500 0.750 0.250 Li
0.500 0.250 0.750 Li
0.000 0.000 0.000 Pm
0.000 0.500 0.500 Zn
0.557 0.568 0.875 O
0.443 0.125 0.432 O
0.000 0.432 0.125 O
0.000 0.875 0.568 O
```

Its crystal system is tetragonal. The energy relative to the elements, uncorrected comes out at -2.00 eV/atom.

=====

[5]
Computed, not measured: an optimized crystal structure of BeNbGaSn2 at the PBE level of DFT.

```
BeNbGaSn2
1.0
5.309 0.000 0.000
0.000 4.032 0.000
0.000 0.000 5.309
Be Nb Sn Ga
1 1 2 1
Direct
0.000 0.500 0.000 Be
0.500 0.500 0.500 Nb
0.000 0.000 0.500 Sn
0.500 0.000 0.000 Sn
0.000 0.000 0.000 Ga
```

Its crystal system is tetragonal. For the formation energy, the calculation gives 0.948 eV/atom.

=====

[6]
Computed, not measured: an optimized crystal structure of CdPd2Pb2 at the PBE level of DFT.

```
CdPd2Pb2
1.0
-0.120 4.626 0.391
-1.887 -0.405 4.224
4.315 2.048 4.678
Pb Pd Cd
2 2 1
Direct
0.750 0.250 0.500 Pb
0.250 0.750 0.500 Pb
0.388 0.388 0.223 Pd
0.612 0.612 0.777 Pd
0.000 0.000 0.000 Cd
```

Its crystal system is tetragonal. For the formation energy, the calculation gives 0.064 eV/atom. The calculation puts the energy above the most stable polymorph in this dataset at 278 meV per atom.